Entry from OQMD via LeMat-Bulk: crystalline BaCd2GePd at its relaxed geometry (PBE-GGA).

Summary:
* E: -3.16 eV/atom

Structure (CIF):
```
data_BaCd2GePd
_cell_length_a 4.6905
_cell_length_b 4.6905
_cell_length_c 11.4419
_cell_angle_alpha 90.00
_cell_angle_beta 90.00
_cell_angle_gamma 90.00
_space_group_name_H-M_alt 'I 4 m m'
_space_group_IT_number 107
_space_group_name_Hall 'I 4 -2'
loop_
_atom_site_label
_atom_site_type_symbol
_atom_site_fract_x
_atom_site_fract_y
_atom_site_fract_z
_atom_site_occupancy
Ba1 Ba 0.0000 0.0000 0.0000 1
Cd1 Cd 0.0000 0.5000 0.2483 1
Ge1 Ge 0.0000 0.0000 0.6072 1
Pd1 Pd 0.0000 0.0000 0.3892 1
```